Entry 1:
A plane-wave DFT calculation with GGA-PBE was carried out for an optimized crystal structure of Zr3AlTc2.

Summary:
For the electronic total energy, the calculation gives -52.8 eV/cell. The value obtained for the calculated density is 7.473 Mg/m³. Its space group is P4/mmm (123). Its density of states at the Fermi level is 3.0 states/eV/cell. The value obtained for the energy relative to the elements is -0.446 eV/atom.

a = 3.3598 Å, b = 3.3598 Å, c = 9.7764 Å
α = 90.00°, β = 90.00°, γ = 90.00°
Fractional coordinates of all 6 atoms:
Zr (0.0000, 0.0000, 0.0000)
Zr (0.0000, 0.0000, 0.6752)
Zr (0.0000, 0.0000, 0.3248)
Al (0.5000, 0.5000, 0.5000)
Tc (0.5000, 0.5000, 0.8292)
Tc (0.5000, 0.5000, 0.1708)

Entry 2:
A plane-wave DFT calculation with GGA-PBE was carried out for an optimized crystal structure of ZrAl2Tc.

Summary:
For the electronic total energy, the calculation gives -27.7 eV/cell. The value obtained for the calculated density is 6.000 Mg/m³. Its space group is Imm2 (44). The energy above the lowest structure with this stoichiometry is 0.057 eV/atom. Its density of states at the Fermi level is 2.3 states/eV/cell. The value obtained for the energy relative to the elements is -0.316 eV/atom.

a = 5.1823 Å, b = 5.1823 Å, c = 5.1823 Å
α = 140.65°, β = 129.29°, γ = 66.01°
Fractional coordinates of all 4 atoms:
Al (0.9949, 0.9949, 0.0000)
Al (0.7424, 0.2424, 0.5000)
Tc (0.5030, 0.5030, 0.0000)
Zr (0.2597, 0.7597, 0.5000)

Entry 3:
A plane-wave DFT calculation with GGA-PBE was carried out for an optimized crystal structure of Zr2AlTc.

Summary:
For the electronic total energy, the calculation gives -32.5 eV/cell. The value obtained for the calculated density is 6.748 Mg/m³. Its space group is Cm (8). Its density of states at the Fermi level is 3.3 states/eV/cell. The value obtained for the energy relative to the elements is -0.312 eV/atom.

a = 5.6184 Å, b = 5.6184 Å, c = 4.6756 Å
α = 65.52°, β = 65.52°, γ = 34.68°
Fractional coordinates of all 4 atoms:
Al (0.5304, 0.5304, 0.4695)
Zr (0.7478, 0.7478, 0.7519)
Zr (0.9741, 0.9741, 0.0258)
Tc (0.2477, 0.2477, 0.2527)

Entry 4:
A plane-wave DFT calculation with GGA-PBE was carried out for an optimized crystal structure of ZrAl2Tc.

Summary:
For the electronic total energy, the calculation gives -27.6 eV/cell. The value obtained for the calculated density is 6.150 Mg/m³. Its space group is Fm-3m (225). The energy above the lowest structure with this stoichiometry is 0.078 eV/atom. Its density of states at the Fermi level is 1.7 states/eV/cell. The value obtained for the energy relative to the elements is -0.295 eV/atom.

a = 4.5284 Å, b = 4.5284 Å, c = 4.5284 Å
α = 60.00°, β = 60.00°, γ = 60.00°
Fractional coordinates of all 4 atoms:
Al (0.2500, 0.2500, 0.2500)
Al (0.7500, 0.7500, 0.7500)
Tc (0.5000, 0.5000, 0.5000)
Zr (0.0000, 0.0000, 0.0000)

Entry 5:
A plane-wave DFT calculation with GGA-PBE was carried out for an optimized crystal structure of ZrAl2Tc.

Summary:
For the electronic total energy, the calculation gives -26.5 eV/cell. The value obtained for the calculated density is 5.788 Mg/m³. Its space group is R3m (160). The energy above the lowest structure with this stoichiometry is 0.355 eV/atom. Its density of states at the Fermi level is 2.9 states/eV/cell. The value obtained for the energy relative to the elements is -0.018 eV/atom.

a = 9.2552 Å, b = 9.2552 Å, c = 9.2552 Å
α = 18.51°, β = 18.51°, γ = 18.51°
Fractional coordinates of all 4 atoms:
Al (0.2447, 0.2447, 0.2447)
Al (0.9953, 0.9953, 0.9953)
Tc (0.5062, 0.5062, 0.5062)
Zr (0.7539, 0.7539, 0.7539)

Entry 6:
A plane-wave DFT calculation with GGA-PBE was carried out for an optimized crystal structure of ZrAl2Tc.

Summary:
For the electronic total energy, the calculation gives -52.3 eV/cell. The value obtained for the calculated density is 5.506 Mg/m³. Its space group is I-42d (122). The energy above the lowest structure with this stoichiometry is 0.430 eV/atom. Its density of states at the Fermi level is 5.2 states/eV/cell. The value obtained for the energy relative to the elements is 0.058 eV/atom.

a = 3.8759 Å, b = 3.8759 Å, c = 10.1412 Å
α = 78.98°, β = 78.98°, γ = 90.00°
Fractional coordinates of all 8 atoms:
Zr (0.5000, 0.5000, 0.0000)
Zr (0.2500, 0.7500, 0.5000)
Tc (0.7500, 0.2500, 0.5000)
Tc (0.0000, 0.0000, 0.0000)
Al (0.3750, 0.3604, 0.7500)
Al (0.8750, 0.8896, 0.7500)
Al (0.1104, 0.6250, 0.2500)
Al (0.6396, 0.1250, 0.2500)

Entry 7:
A plane-wave DFT calculation with GGA-PBE was carried out for an optimized crystal structure of ZrAl2Tc.

Summary:
For the electronic total energy, the calculation gives -27.8 eV/cell. The value obtained for the calculated density is 6.038 Mg/m³. Its space group is P4/mmm (123). The energy above the lowest structure with this stoichiometry is 0.015 eV/atom. Its density of states at the Fermi level is 3.2 states/eV/cell. The value obtained for the energy relative to the elements is -0.358 eV/atom.

a = 3.9505 Å, b = 3.9505 Å, c = 4.2855 Å
α = 90.00°, β = 90.00°, γ = 90.00°
Fractional coordinates of all 4 atoms:
Zr (0.0000, 0.5000, 0.5000)
Tc (0.5000, 0.0000, 0.5000)
Al (0.5000, 0.5000, 0.0000)
Al (0.0000, 0.0000, 0.0000)

Entry 8:
A plane-wave DFT calculation with GGA-PBE was carried out for an optimized crystal structure of Zr2Al3Tc.

Summary:
For the electronic total energy, the calculation gives -83.9 eV/cell. The value obtained for the calculated density is 5.695 Mg/m³. Its space group is P6_3/mmc (194). The energy above the lowest structure with this stoichiometry is 0.000 eV/atom. Its density of states at the Fermi level is 10.6 states/eV/cell. The value obtained for the energy relative to the elements is -0.541 eV/atom.

a = 5.3004 Å, b = 5.3004 Å, c = 8.6613 Å
α = 90.00°, β = 90.00°, γ = 120.00°
Fractional coordinates of all 12 atoms:
Al (0.1658, 0.3317, 0.2500)
Al (0.8342, 0.1658, 0.7500)
Al (0.1658, 0.8342, 0.2500)
Al (0.3317, 0.1658, 0.7500)
Al (0.8342, 0.6683, 0.7500)
Al (0.6683, 0.8342, 0.2500)
Zr (0.6667, 0.3333, 0.4476)
Zr (0.3333, 0.6667, 0.9476)
Zr (0.6667, 0.3333, 0.0524)
Zr (0.3333, 0.6667, 0.5524)
Tc (0.0000, 0.0000, 0.5000)
Tc (0.0000, 0.0000, 0.0000)

Entry 9:
A plane-wave DFT calculation with GGA-PBE was carried out for an optimized crystal structure of Zr2AlTc.

Summary:
For the electronic total energy, the calculation gives -32.1 eV/cell. The value obtained for the calculated density is 7.030 Mg/m³. Its space group is F-43m (216). Its density of states at the Fermi level is 2.2 states/eV/cell. The value obtained for the energy relative to the elements is -0.226 eV/atom.

a = 4.6829 Å, b = 4.6829 Å, c = 4.6829 Å
α = 60.00°, β = 60.00°, γ = 60.00°
Fractional coordinates of all 4 atoms:
Tc (0.7500, 0.7500, 0.7500)
Zr (0.0000, 0.0000, 0.0000)
Zr (0.2500, 0.2500, 0.2500)
Al (0.5000, 0.5000, 0.5000)

Entry 10:
A plane-wave DFT calculation with GGA-PBE was carried out for an optimized crystal structure of AlTe.

Summary:
For the electronic total energy, the calculation gives -13.9 eV/cell. The value obtained for the calculated density is 3.915 Mg/m³. Its space group is P6_3mc (186). Its density of states at the Fermi level is 1.9 states/eV/cell. As for the raw formation energy: -0.03 eV per atom.

a = 4.1559 Å, b = 4.1559 Å, c = 8.7667 Å
α = 90.00°, β = 90.00°, γ = 120.00°
Fractional coordinates of all 4 atoms:
Te (0.6667, 0.3333, 0.8558)
Te (0.3333, 0.6667, 0.3558)
Al (0.3333, 0.6667, 0.0152)
Al (0.6667, 0.3333, 0.5152)

Entry 11:
A plane-wave DFT calculation with GGA-PBE was carried out for an optimized crystal structure of Al7Te6.

Summary:
For the electronic total energy, the calculation gives -44.2 eV/cell. The value obtained for the calculated density is 4.694 Mg/m³. Its space group is R-3m (166). Its density of states at the Fermi level is 2.6 states/eV/cell. As for the raw formation energy: 0.07 eV per atom.

a = 12.0502 Å, b = 12.0502 Å, c = 12.0502 Å
α = 27.87°, β = 27.87°, γ = 27.87°
Fractional coordinates of all 13 atoms:
Te (0.8228, 0.8228, 0.8228)
Te (0.9251, 0.9251, 0.9251)
Te (0.1772, 0.1772, 0.1772)
Te (0.0749, 0.0749, 0.0749)
Te (0.3595, 0.3595, 0.3595)
Te (0.6405, 0.6405, 0.6405)
Al (0.5947, 0.5947, 0.0750)
Al (0.4053, 0.9250, 0.4053)
Al (0.5947, 0.0750, 0.5947)
Al (0.0750, 0.5947, 0.5947)
Al (0.9250, 0.4053, 0.4053)
Al (0.4053, 0.4053, 0.9250)
Al (0.5000, 0.5000, 0.5000)

Entry 12:
A plane-wave DFT calculation with GGA-PBE was carried out for an optimized crystal structure of Al2Te.

Summary:
For the electronic total energy, the calculation gives -10.4 eV/cell. The value obtained for the calculated density is 4.168 Mg/m³. Its space group is P4/mmm (123). The energy above the lowest structure with this stoichiometry is 0.113 eV/atom. Its density of states at the Fermi level is 0.9 states/eV/cell. As for the raw formation energy: 0.08 eV per atom.

a = 3.9422 Å, b = 3.9422 Å, c = 4.6549 Å
α = 90.00°, β = 90.00°, γ = 90.00°
Fractional coordinates of all 3 atoms:
Al (0.5000, 0.0000, 0.5000)
Al (0.0000, 0.5000, 0.5000)
Te (0.0000, 0.0000, 0.0000)